Entry 1:
15
Lattice="9.2423 0.0000 0.0000 -4.6211 8.0040 0.0000 0.0000 0.0000 6.6836" Properties=species:S:1:pos:R:3 comment="Y8Tm6Pu | Alexandria | PBE | relaxed" total_energy_ev_per_cell=-88.63 volume_a3_per_atom=33.0 pbc="T T T"
Y -2.9454 5.5280 0.7347
Y 1.3065 2.6893 0.7347
Y 0.0000 5.3360 5.3150
Y 2.9822 0.2132 5.9489
Y 1.6389 7.7908 0.7347
Y 4.6211 2.6680 1.3686
Y 3.3147 5.3148 5.9489
Y 7.5665 2.4760 5.9489
Tm -1.1671 3.1706 2.6684
Tm -1.2917 7.4294 2.6684
Tm 2.1623 2.5960 4.0152
Tm 2.4588 5.4080 2.6684
Tm 5.9129 0.5746 4.0152
Tm 5.7882 4.8334 4.0152
Pu 0.0000 0.0000 3.3418

Entry 2:
6
Lattice="0.0000 4.3577 4.3577 4.3577 0.0000 4.3577 4.3577 4.3577 0.0000" Properties=species:S:1:pos:R:3 comment="YTmPu4 | Alexandria | PBE | relaxed" total_energy_ev_per_cell=-66.89 volume_a3_per_atom=27.6 pbc="T T T"
Y 0.0000 0.0000 0.0000
Tm 2.1789 2.1789 2.1789
Pu 5.4459 3.2696 3.2696
Pu 3.2696 5.4459 3.2696
Pu 3.2696 3.2696 5.4459
Pu 5.4459 5.4459 5.4459

Entry 3:
16
Lattice="11.3154 0.0000 0.0000 0.0000 3.6302 6.2849 0.0000 -3.6302 6.2849" Properties=species:S:1:pos:R:3 comment="Y14TmPu | Alexandria | PBE | relaxed" total_energy_ev_per_cell=-108.94 volume_a3_per_atom=32.3 pbc="T T T"
Y 0.0000 0.0000 0.0005
Y 0.0000 -1.8136 3.1406
Y 0.0000 1.8136 3.1406
Y 0.0000 0.0000 6.2849
Y 2.8227 0.0000 4.1916
Y 2.8507 0.0000 10.4937
Y 2.8693 -1.8312 7.3169
Y 2.8693 1.8312 7.3169
Y 5.6577 -1.8082 9.4301
Y 5.6577 1.8082 9.4301
Y 8.4461 -1.8312 7.3169
Y 8.4461 1.8312 7.3169
Y 8.4647 0.0000 10.4937
Y 8.4927 0.0000 4.1916
Tm 5.6577 0.0000 6.2870
Pu 5.6577 0.0000 12.5648

Entry 4:
14
Lattice="8.5723 0.0000 0.0000 0.0000 8.5723 0.0000 0.0000 0.0000 11.9391" Properties=species:S:1:pos:R:3 comment="Y4Tm2Pu | Alexandria | PBE | relaxed" total_energy_ev_per_cell=-72.96 volume_a3_per_atom=62.7 pbc="T T T"
Y 0.0000 2.7046 0.0000
Y 0.0000 5.8677 0.0000
Y 1.5816 4.2861 5.9695
Y 2.7046 0.0000 0.0000
Y 4.2861 1.5816 5.9695
Y 4.2861 6.9907 5.9695
Y 5.8677 0.0000 0.0000
Y 6.9907 4.2861 5.9695
Tm 0.0000 4.2861 2.9848
Tm 0.0000 4.2861 8.9543
Tm 4.2861 0.0000 2.9848
Tm 4.2861 0.0000 8.9543
Pu 0.0000 0.0000 0.0000
Pu 4.2861 4.2861 5.9695

Entry 5:
16
Lattice="5.5824 0.0000 0.0000 0.0000 7.0648 0.0000 0.0000 0.0000 12.2363" Properties=species:S:1:pos:R:3 comment="YTm6Pu | Alexandria | PBE | relaxed" total_energy_ev_per_cell=-94.42 volume_a3_per_atom=30.2 pbc="T T T"
Y 0.0000 0.0000 0.0000
Y 0.0000 3.5324 6.1182
Tm 0.0000 0.0000 6.0870
Tm 0.0000 1.7434 3.0223
Tm 0.0000 1.7890 9.1405
Tm 0.0000 3.5324 12.2051
Tm 0.0000 5.2758 9.1405
Tm 0.0000 5.3214 3.0223
Tm 2.7912 0.0000 8.1370
Tm 2.7912 1.7680 5.0562
Tm 2.7912 1.7644 11.1744
Tm 2.7912 3.5324 2.0188
Tm 2.7912 5.2968 5.0562
Tm 2.7912 5.3003 11.1744
Pu 2.7912 0.0000 2.0201
Pu 2.7912 3.5324 8.1383

Entry 6:
14
Lattice="6.1772 0.0000 0.0000 -3.0424 5.8719 0.0000 -0.0702 -2.1030 11.8879" Properties=species:S:1:pos:R:3 comment="Y3Tm3Pu | Alexandria | PBE | relaxed" total_energy_ev_per_cell=-93.65 volume_a3_per_atom=30.8 pbc="T T T"
Y 0.4690 0.0164 4.6421
Y -0.5041 3.2283 5.5064
Y 0.4807 1.1043 8.1447
Y 2.5840 2.6647 3.7432
Y 3.5688 0.5407 6.3815
Y 2.5956 3.7526 7.2458
Tm -2.5201 4.7967 1.2303
Tm -0.5137 2.1323 2.0542
Tm 2.5459 -1.5806 8.9922
Tm 0.5188 5.3496 2.8957
Tm 3.5784 1.6367 9.8337
Tm 5.5848 -1.0277 10.6576
Pu 0.5138 2.1837 11.5226
Pu 2.5508 1.5853 0.3653